# GGA-PBE BaAcOsN2, optimized geometry
# formation energy without anion corrections: -0.32 eV/atom
data_BaAcOsN2
_cell_length_a 6.2131
_cell_length_b 5.1251
_cell_length_c 7.8630
_cell_angle_alpha 90.00
_cell_angle_beta 90.09
_cell_angle_gamma 90.00
_symmetry_space_group_name_H-M 'P 1 2/c 1'
_symmetry_Int_Tables_number 13
loop_
_symmetry_equiv_pos_as_xyz
'x,y,z'
'-x,-y,-z'
'-x,y,-z+1/2'
'x,-y,z+1/2'
loop_
_atom_site_label
_atom_site_fract_x
_atom_site_fract_y
_atom_site_fract_z
Ba1 0.0000 0.0016 0.2500
Ac1 0.5000 0.5005 0.2500
Os1 0.5000 0.0000 0.0000
N1 0.2739 0.2378 0.9997



# GGA-PBE BaNa3Cd8, optimized geometry
# DFT formation energy: -0.174 eV/atom
data_BaNa3Cd8
_cell_length_a 6.1336
_cell_length_b 6.1336
_cell_length_c 9.8941
_cell_angle_alpha 90.00
_cell_angle_beta 90.00
_cell_angle_gamma 120.00
_symmetry_space_group_name_H-M 'P 3 m 1'
_symmetry_Int_Tables_number 156
loop_
_symmetry_equiv_pos_as_xyz
'x,y,z'
'-y,x-y,z'
'-x+y,-x,z'
'-y,-x,z'
'-x+y,y,z'
'x,x-y,z'
loop_
_atom_site_label
_atom_site_fract_x
_atom_site_fract_y
_atom_site_fract_z
Ba1 0.0000 0.0000 0.0000
Na1 0.0000 0.0000 0.3857
Na2 0.6667 0.3333 0.5000
Na3 0.6667 0.3333 0.8635
Cd1 0.1640 0.3280 0.6836
Cd2 0.3333 0.6667 0.4382
Cd3 0.3333 0.6667 0.9364
Cd4 0.5042 0.0084 0.1960



# GGA-PBE TlPtF4, optimized geometry
# formation energy without anion corrections: -1.39 eV/atom
data_TlPtF4
_cell_length_a 6.7670
_cell_length_b 6.7670
_cell_length_c 6.0912
_cell_angle_alpha 90.00
_cell_angle_beta 90.00
_cell_angle_gamma 90.00
_symmetry_space_group_name_H-M 'I -4 m 2'
_symmetry_Int_Tables_number 119
_symmetry_space_group_name_Hall 'I -4 -2'
loop_
_atom_site_label
_atom_site_fract_x
_atom_site_fract_y
_atom_site_fract_z
Tl1 0.0000 0.0000 0.0000
Pt1 0.0000 0.5000 0.2500
F1 0.2029 0.2971 0.2500



# GGA-PBE HoCu2Pt5, optimized geometry
# DFT formation energy: -0.363 eV/atom
data_HoCu2Pt5
_cell_length_a 3.7017
_cell_length_b 7.5450
_cell_length_c 9.5978
_cell_angle_alpha 90.00
_cell_angle_beta 90.00
_cell_angle_gamma 90.00
_symmetry_space_group_name_H-M 'I m m m'
_symmetry_Int_Tables_number 71
_symmetry_space_group_name_Hall '-I 2 2'
loop_
_atom_site_label
_atom_site_fract_x
_atom_site_fract_y
_atom_site_fract_z
Ho1 0.0000 0.0000 0.0000
Cu1 0.0000 0.5000 0.2664
Pt1 0.0000 0.1949 0.3546
Pt2 0.0000 0.5000 0.0000



# GGA-PBE RbSrTa, optimized geometry
# DFT formation energy: 0.852 eV/atom
data_RbSrTa
_cell_length_a 3.5896
_cell_length_b 7.3497
_cell_length_c 10.3572
_cell_angle_alpha 70.58
_cell_angle_beta 89.93
_cell_angle_gamma 75.96
_symmetry_space_group_name_H-M 'P 1'
_symmetry_Int_Tables_number 1
loop_
_symmetry_equiv_pos_as_xyz
'x,y,z'
loop_
_atom_site_label
_atom_site_fract_x
_atom_site_fract_y
_atom_site_fract_z
Rb1 0.0000 0.0000 0.0000
Rb2 0.2952 0.4033 0.1560
Sr1 0.6378 0.7323 0.4531
Sr2 0.9375 0.1346 0.6062
Ta1 0.2716 0.4639 0.7422
Ta2 0.6546 0.6977 0.7845



# GGA-PBE MnOsRh2, optimized geometry
# DFT formation energy: 0.282 eV/atom
data_MnOsRh2
_cell_length_a 6.0989
_cell_length_b 6.0989
_cell_length_c 6.0989
_cell_angle_alpha 90.00
_cell_angle_beta 90.00
_cell_angle_gamma 90.00
_symmetry_space_group_name_H-M 'F -4 3 m'
_symmetry_Int_Tables_number 216
_symmetry_space_group_name_Hall 'F -4 2 3'
loop_
_atom_site_label
_atom_site_fract_x
_atom_site_fract_y
_atom_site_fract_z
Mn1 0.0000 0.0000 0.0000
Os1 0.2500 0.2500 0.2500
Rh1 0.0000 0.0000 0.5000
Rh2 0.2500 0.2500 0.7500



# GGA-PBE RbBa3Li, optimized geometry
# DFT formation energy: 0.714 eV/atom
data_RbBa3Li
_cell_length_a 7.0972
_cell_length_b 7.0972
_cell_length_c 7.0972
_cell_angle_alpha 90.00
_cell_angle_beta 90.00
_cell_angle_gamma 90.00
_symmetry_space_group_name_H-M 'P m -3 m'
_symmetry_Int_Tables_number 221
_symmetry_space_group_name_Hall '-P 4 2 3'
loop_
_atom_site_label
_atom_site_fract_x
_atom_site_fract_y
_atom_site_fract_z
Rb1 0.0000 0.0000 0.0000
Ba1 0.0000 0.0000 0.5000
Li1 0.5000 0.5000 0.5000



# GGA-PBE Tl2SiTe4Au, optimized geometry
# formation energy without anion corrections: -0.08 eV/atom
data_Tl2SiTe4Au
_cell_length_a 8.2842
_cell_length_b 10.1266
_cell_length_c 7.1418
_cell_angle_alpha 90.00
_cell_angle_beta 90.00
_cell_angle_gamma 90.00
_symmetry_space_group_name_H-M 'P m n 21'
_symmetry_Int_Tables_number 31
loop_
_symmetry_equiv_pos_as_xyz
'x,y,z'
'-x+1/2,-y,z+1/2'
'-x,y,z'
'x+1/2,-y,z+1/2'
loop_
_atom_site_label
_atom_site_fract_x
_atom_site_fract_y
_atom_site_fract_z
Tl1 0.2177 0.1764 0.0000
Si1 0.0000 0.6513 0.9503
Te1 0.0000 0.4354 0.1227
Te2 0.0000 0.6106 0.5985
Te3 0.2323 0.8063 0.0338
Au1 0.0000 0.3471 0.5242